(1)
Material: CsZr3Te6
Method: DFT, PBE
State: optimized geometry

Properties
Energy relative to the elements, uncorrected, eV/f.u.: -8.88
Total moment, μB per formula unit: 0.00
Symmetry: P2_1/m (11)

Lattice parameters (Å, degrees): 13.0492 4.0337 13.1825 90.00 106.12 90.00
Sites, in units of the cell vectors:
Cs 0.1099 0.2500 0.3855
Cs 0.8901 0.7500 0.6145
Zr 0.1495 0.2500 0.0399
Zr 0.3096 0.7500 0.7352
Zr 0.4705 0.7500 0.3547
Zr 0.5295 0.2500 0.6453
Zr 0.6904 0.2500 0.2648
Zr 0.8505 0.7500 0.9601
Te 0.0434 0.7500 0.1371
Te 0.1484 0.2500 0.6697
Te 0.2503 0.7500 0.9454
Te 0.3208 0.2500 0.2451
Te 0.3686 0.7500 0.5352
Te 0.4641 0.2500 0.8392
Te 0.5359 0.7500 0.1608
Te 0.6314 0.2500 0.4648
Te 0.6792 0.7500 0.7549
Te 0.7497 0.2500 0.0546
Te 0.8516 0.7500 0.3303
Te 0.9566 0.2500 0.8629

---

(2)
Material: Cs2Zr3Te6
Method: DFT, PBE
State: optimized geometry

Properties
Energy relative to the elements, uncorrected, eV/f.u.: -10.88
Total moment, μB per formula unit: 0.00
Symmetry: C2/m (12)

Lattice parameters (Å, degrees): 7.1016 7.1016 9.6509 97.07 97.07 120.02
Sites, in units of the cell vectors:
Cs 0.1663 0.8337 0.0000
Cs 0.8337 0.1663 0.0000
Zr 0.0000 0.0000 0.5000
Zr 0.3314 0.6686 0.5000
Zr 0.6686 0.3314 0.5000
Te 0.0671 0.3963 0.6884
Te 0.2747 0.2747 0.3130
Te 0.3963 0.0671 0.6884
Te 0.6037 0.9329 0.3116
Te 0.7253 0.7253 0.6870
Te 0.9329 0.6037 0.3116

---

(3)
Material: CsZrTe3
Method: DFT, PBE
State: optimized geometry

Properties
Energy relative to the elements, uncorrected, eV/f.u.: -3.94
Total moment, μB per formula unit: 0.00
Symmetry: Pm-3m (221)

Lattice parameters (Å, degrees): 5.7404 5.7404 5.7404 90.00 90.00 90.00
Sites, in units of the cell vectors:
Cs 0.0000 0.0000 0.0000
Zr 0.5000 0.5000 0.5000
Te 0.0000 0.5000 0.5000
Te 0.5000 0.0000 0.5000
Te 0.5000 0.5000 0.0000

---

(4)
Material: Cs2Zr2Te
Method: DFT, PBE
State: optimized geometry

Properties
Energy relative to the elements, uncorrected, eV/f.u.: 7.08
Total moment, μB per formula unit: 0.00
Symmetry: P4/mbm (127)

Lattice parameters (Å, degrees): 9.0583 9.0583 3.8955 90.00 90.00 90.00
Sites, in units of the cell vectors:
Cs 0.1294 0.3706 0.0000
Cs 0.3706 0.8706 0.0000
Cs 0.6294 0.1294 0.0000
Cs 0.8706 0.6294 0.0000
Zr 0.1970 0.6970 0.5000
Zr 0.3030 0.1970 0.5000
Zr 0.6970 0.8030 0.5000
Zr 0.8030 0.3030 0.5000
Te 0.0000 0.0000 0.0000
Te 0.5000 0.5000 0.0000

---

(5)
Material: Cs3ZrTe
Method: DFT, PBE
State: optimized geometry

Properties
Energy relative to the elements, uncorrected, eV/f.u.: 2.19
Total moment, μB per formula unit: 3.00
Symmetry: Pm-3m (221)

Lattice parameters (Å, degrees): 7.3426 7.3426 7.3426 90.00 90.00 90.00
Sites, in units of the cell vectors:
Cs 0.0000 0.0000 0.5000
Cs 0.0000 0.5000 0.0000
Cs 0.5000 0.0000 0.0000
Zr 0.5000 0.5000 0.5000
Te 0.0000 0.0000 0.0000

---

(6)
Material: CsZrTe4
Method: DFT, PBE
State: optimized geometry

Properties
Energy relative to the elements, uncorrected, eV/f.u.: -4.19
Total moment, μB per formula unit: 0.00
Symmetry: C2/m (12)

Lattice parameters (Å, degrees): 9.4504 9.4504 6.5187 90.30 90.30 61.40
Sites, in units of the cell vectors:
Cs 0.1710 0.1710 0.2139
Cs 0.8290 0.8290 0.7861
Zr 0.4855 0.4855 0.7366
Zr 0.5145 0.5145 0.2634
Te 0.2010 0.5753 0.4077
Te 0.2544 0.7456 0.0000
Te 0.3061 0.3061 0.7060
Te 0.4247 0.7990 0.5923
Te 0.5753 0.2010 0.4077
Te 0.6939 0.6939 0.2940
Te 0.7456 0.2544 0.0000
Te 0.7990 0.4247 0.5923

---

(7)
Material: Cs5Zr2Te6
Method: DFT, PBE
State: optimized geometry

Properties
Energy relative to the elements, uncorrected, eV/f.u.: -13.68
Total moment, μB per formula unit: 1.00
Symmetry: C2/c (15)

Lattice parameters (Å, degrees): 8.9592 8.9592 20.0114 100.57 100.57 65.02
Sites, in units of the cell vectors:
Cs 0.1318 0.8682 0.7500
Cs 0.1852 0.7017 0.0013
Cs 0.2367 0.4410 0.2722
Cs 0.2983 0.8148 0.4987
Cs 0.4410 0.2367 0.7722
Cs 0.5590 0.7633 0.2278
Cs 0.7017 0.1852 0.5013
Cs 0.7633 0.5590 0.7278
Cs 0.8148 0.2983 0.9987
Cs 0.8682 0.1318 0.2500
Zr 0.1283 0.4143 0.5687
Zr 0.4143 0.1283 0.0687
Zr 0.5857 0.8717 0.9313
Zr 0.8717 0.5857 0.4313
Te 0.0948 0.1893 0.6360
Te 0.1617 0.2842 0.4293
Te 0.1893 0.0948 0.1360
Te 0.2842 0.1617 0.9293
Te 0.3927 0.4904 0.6276
Te 0.4904 0.3927 0.1276
Te 0.5096 0.6073 0.8724
Te 0.6073 0.5096 0.3724
Te 0.7158 0.8383 0.0707
Te 0.8107 0.9052 0.8640
Te 0.8383 0.7158 0.5707
Te 0.9052 0.8107 0.3640

---

(8)
Material: CsZr5Te8
Method: DFT, PBE
State: optimized geometry

Properties
Energy relative to the elements, uncorrected, eV/f.u.: -13.43
Total moment, μB per formula unit: 0.00
Symmetry: C2/m (12)

Lattice parameters (Å, degrees): 10.8631 10.8631 10.3363 104.21 104.21 21.23
Sites, in units of the cell vectors:
Cs 0.0000 0.0000 0.0000
Zr 0.1522 0.1522 0.5071
Zr 0.2087 0.2087 0.8488
Zr 0.5000 0.5000 0.5000
Zr 0.7913 0.7913 0.1512
Zr 0.8478 0.8478 0.4929
Te 0.0716 0.0716 0.6880
Te 0.2547 0.2547 0.3367
Te 0.3412 0.3412 0.9970
Te 0.4127 0.4127 0.6821
Te 0.5873 0.5873 0.3179
Te 0.6588 0.6588 0.0030
Te 0.7453 0.7453 0.6633
Te 0.9284 0.9284 0.3120